Entry 1:
Density functional theory data (PBE-GGA) for a geometry-optimized YMnAg2 structure.

Computed properties:
Space group ... No. 6

```
YMnAg2
1.0
3.361 0.000 0.000
0.000 4.589 0.000
-1.645 0.000 5.468
Y Mn Ag
1 1 2
Direct
0.000 0.000 0.000
0.313 0.500 0.632
0.590 0.500 0.184
0.734 0.000 0.480
```


Entry 2:
Density functional theory data (PBE-GGA) for a geometry-optimized YMnAg structure.

Computed properties:
Space group ... No. 156

```
YMnAg
1.0
3.269 0.000 0.000
-1.634 2.831 0.000
0.000 0.000 7.025
Y Mn Ag
1 1 1
Direct
0.000 0.000 0.000
0.333 0.667 0.659
0.667 0.333 0.363
```


Entry 3:
Density functional theory data (PBE-GGA) for a geometry-optimized Y2MnAg structure.

Computed properties:
Space group ... No. 44

```
Y2MnAg
1.0
-1.768 2.475 5.414
1.768 -2.475 5.414
1.768 2.475 -5.414
Y Mn Ag
2 1 1
Direct
0.000 0.000 0.000
0.715 0.215 0.500
0.453 0.453 0.000
0.259 0.759 0.500
```


Entry 4:
Density functional theory data (PBE-GGA) for a geometry-optimized YMnAg2 structure.

Computed properties:
Space group ... No. 123

```
YMnAg2
1.0
4.595 0.000 0.000
0.000 4.595 0.000
0.000 0.000 3.920
Y Mn Ag
1 1 2
Direct
0.000 0.000 0.000
0.500 0.500 0.000
0.000 0.500 0.500
0.500 0.000 0.500
```


Entry 5:
Density functional theory data (PBE-GGA) for a geometry-optimized YMnAg2 structure.

Computed properties:
Space group ... No. 216

```
YMnAg2
1.0
0.000 3.412 3.412
3.412 0.000 3.412
3.412 3.412 0.000
Y Mn Ag
1 1 2
Direct
0.000 0.000 0.000
0.250 0.250 0.250
0.500 0.500 0.500
0.750 0.750 0.750
```


Entry 6:
Density functional theory data (PBE-GGA) for a geometry-optimized YMnZn2Ag structure.

Computed properties:
Space group ... No. 123

```
YMnZn2Ag
1.0
4.829 0.000 0.000
0.000 4.829 0.000
0.000 0.000 5.436
Y Mn Zn Ag
1 1 2 1
Direct
0.000 0.000 0.000
0.500 0.500 0.000
0.000 0.500 0.500
0.500 0.000 0.500
0.000 0.000 0.500
```


Entry 7:
Density functional theory data (PBE-GGA) for a geometry-optimized MnZn6Ag structure.

Computed properties:
Space group ... No. 123

```
MnZn6Ag
1.0
4.007 0.000 0.000
0.000 4.007 0.000
0.000 0.000 7.358
Mn Zn Ag
1 6 1
Direct
0.000 0.000 0.000
0.000 0.500 0.238
0.000 0.500 0.762
0.500 0.000 0.238
0.500 0.000 0.762
0.500 0.500 0.000
0.500 0.500 0.500
0.000 0.000 0.500
```


Entry 8:
Density functional theory data (PBE-GGA) for a geometry-optimized MnZn3Ag structure.

Computed properties:
Space group ... No. 63

```
MnZn3Ag
1.0
1.401 -12.560 0.000
1.401 12.560 0.000
0.000 0.000 4.293
Mn Zn Ag
2 6 2
Direct
0.074 0.926 0.750
0.926 0.074 0.250
0.328 0.672 0.250
0.380 0.620 0.750
0.477 0.523 0.750
0.523 0.477 0.250
0.620 0.380 0.250
0.672 0.328 0.750
0.218 0.782 0.250
0.782 0.218 0.750
```


Entry 9:
Density functional theory data (PBE-GGA) for a geometry-optimized MnZn3Ag structure.

Computed properties:
Space group ... No. 221

```
MnZn3Ag
1.0
4.723 0.000 0.000
0.000 4.723 0.000
0.000 0.000 4.723
Mn Zn Ag
1 3 1
Direct
0.000 0.000 0.000
0.000 0.000 0.500
0.000 0.500 0.000
0.500 0.000 0.000
0.500 0.500 0.500
```


Entry 10:
Density functional theory data (PBE-GGA) for a geometry-optimized MnZn4Ag structure.

Computed properties:
Space group ... No. 216

```
MnZn4Ag
1.0
0.000 3.579 3.579
3.579 0.000 3.579
3.579 3.579 0.000
Mn Zn Ag
1 4 1
Direct
0.000 0.000 0.000
0.124 0.625 0.625
0.625 0.124 0.625
0.625 0.625 0.124
0.625 0.625 0.625
0.250 0.250 0.250
```


Entry 11:
Density functional theory data (PBE-GGA) for a geometry-optimized Mn2Zn2Ag structure.

Computed properties:
Space group ... No. 127

```
Mn2Zn2Ag
1.0
7.129 0.000 0.000
0.000 7.129 0.000
0.000 0.000 3.000
Mn Zn Ag
4 4 2
Direct
0.162 0.338 0.000
0.338 0.838 0.000
0.662 0.162 0.000
0.838 0.662 0.000
0.133 0.633 0.500
0.367 0.133 0.500
0.633 0.867 0.500
0.867 0.367 0.500
0.000 0.000 0.500
0.500 0.500 0.500
```


Entry 12:
Density functional theory data (PBE-GGA) for a geometry-optimized Mn3ZnAg structure.

Computed properties:
Space group ... No. 221

```
Mn3ZnAg
1.0
4.943 0.000 0.000
0.000 4.943 0.000
0.000 0.000 4.943
Mn Zn Ag
3 1 1
Direct
0.000 0.000 0.500
0.000 0.500 0.000
0.500 0.000 0.000
0.500 0.500 0.500
0.000 0.000 0.000
```


no.,magnetization (Bohr magnetons per cell),ΔH_f (0 K) (eV/atom)
1,4.0,0.120
2,3.6,0.343
3,3.0,0.033
4,3.9,0.098
5,4.1,0.063
6,4.2,0.605
7,3.0,-0.003
8,6.8,0.016
9,3.1,0.681
10,4.0,0.078
11,13.7,0.174
12,13.2,1.229